The following is a PBE-GGA calculation of a geometry-optimized KLaF2 structure, from the Alexandria database.

The structure in POSCAR format:
```
KLaF2
1.0
2.014 1.163 7.376
-2.014 1.163 7.376
0.000 -2.325 7.376
K La F
1 1 2
Cartesian
0.000 0.000 0.000
0.000 0.000 11.063
0.000 0.000 8.779
0.000 0.000 13.348
```

Summary:
**Formation energy without anion corrections**: -2.64 eV per atom
**Total energy**: -5.083 eV/atom
**D(E_F)**: 1.2 states/eV per cell
**Excess energy over the best structure of this formula in the dataset**: 0.000 eV/f.u.
**Calculated volume**: 25.90 A^3/atom


The following is a PBE-GGA calculation of a geometry-optimized Ba4TlAs structure, from the Alexandria database.

The structure in POSCAR format:
```
Ba4TlAs
1.0
5.378 -7.672 0.000
5.378 7.672 0.000
-4.406 0.000 6.781
Ba Tl As
8 2 2
Cartesian
0.092 5.116 6.297
-0.106 0.911 4.873
4.056 5.116 3.875
2.096 -0.911 1.482
4.254 0.911 5.299
2.295 -5.116 2.906
6.457 -0.911 1.908
6.258 -5.116 0.484
4.277 2.092 1.695
2.074 -2.092 5.086
2.074 7.604 5.086
4.277 -7.604 1.695
```

Summary:
**Total energy**: -3.012 eV/atom
**D(E_F)**: 11.6 states/eV per cell
**DFT formation energy**: -561 meV per atom
**Excess energy over the best structure of this formula in the dataset**: 0.000 eV/f.u.
**Calculated volume**: 46.63 A^3/atom


The following is a PBE-GGA calculation of a geometry-optimized BaLa2Os structure, from the Alexandria database.

The structure in POSCAR format:
```
BaLa2Os
1.0
-1.824 2.439 8.203
1.824 -2.439 8.203
1.824 2.439 -8.203
Ba La Os
1 2 1
Cartesian
0.000 0.000 0.000
1.824 0.000 5.445
0.000 0.000 11.224
0.000 2.439 5.186
```

Summary:
**Total energy**: -5.620 eV/atom
**D(E_F)**: 3.8 states/eV per cell
**DFT formation energy**: 132 meV per atom
**Excess energy over the best structure of this formula in the dataset**: 0.722 eV/f.u.
**Calculated volume**: 36.48 A^3/atom


The following is a PBE-GGA calculation of a geometry-optimized AlZn2F6 structure, from the Alexandria database.

The structure in POSCAR format:
```
AlZn2F6
1.0
4.947 0.000 0.000
0.000 4.947 0.000
0.000 0.000 9.196
Al Zn F
2 4 12
Cartesian
0.000 0.000 0.000
2.474 2.474 4.598
0.000 0.000 3.142
0.000 0.000 6.053
2.474 2.474 1.455
2.474 2.474 7.740
0.897 0.897 1.365
0.897 0.897 7.830
1.179 1.179 4.598
1.295 3.652 0.000
1.577 3.370 3.233
1.577 3.370 5.963
3.370 1.577 3.233
3.370 1.577 5.963
3.652 1.295 0.000
3.769 3.769 4.598
4.051 4.051 1.365
4.051 4.051 7.830
```

Summary:
**Formation energy without anion corrections**: -2.53 eV per atom
**Total energy**: -4.479 eV/atom
**D(E_F)**: 3.0 states/eV per cell
**Calculated volume**: 12.50 A^3/atom


The following is a PBE-GGA calculation of a geometry-optimized TaFeCoNi structure, from the Alexandria database.

The structure in POSCAR format:
```
TaFeCoNi
1.0
0.000 2.927 2.927
2.927 0.000 2.927
2.927 2.927 0.000
Ta Fe Co Ni
1 1 1 1
Cartesian
0.000 0.000 0.000
1.463 1.463 1.463
4.390 4.390 4.390
2.927 2.927 2.927
```

Summary:
**Total energy**: -8.351 eV/atom
**D(E_F)**: 4.7 states/eV per cell
**DFT formation energy**: -50 meV per atom
**Excess energy over the best structure of this formula in the dataset**: 0.699 eV/f.u.
**Calculated volume**: 12.53 A^3/atom


The following is a PBE-GGA calculation of a geometry-optimized Ag2SnPd8 structure, from the Alexandria database.

The structure in POSCAR format:
```
Ag2SnPd8
1.0
4.060 -5.300 0.000
4.060 5.300 0.000
0.000 0.000 4.408
Ag Sn Pd
2 1 8
Cartesian
4.060 3.990 0.000
4.060 -3.990 0.000
4.060 0.000 2.204
1.389 0.000 2.204
2.693 1.404 0.000
4.060 2.582 2.204
2.693 -1.404 0.000
5.428 1.404 0.000
4.060 -2.582 2.204
5.428 -1.404 0.000
6.732 0.000 2.204
```

Summary:
**Total energy**: -4.672 eV/atom
**D(E_F)**: 10.1 states/eV per cell
**DFT formation energy**: -13 meV per atom
**Excess energy over the best structure of this formula in the dataset**: 0.000 eV/f.u.
**Calculated volume**: 17.25 A^3/atom


The following is a PBE-GGA calculation of a geometry-optimized RbVBi3 structure, from the Alexandria database.

The structure in POSCAR format:
```
RbVBi3
1.0
5.464 0.000 0.000
0.000 5.464 0.000
0.000 0.000 5.464
Rb V Bi
1 1 3
Cartesian
0.000 0.000 0.000
2.732 2.732 2.732
0.000 2.732 2.732
2.732 0.000 2.732
2.732 2.732 0.000
```

Summary:
**Total energy**: -4.212 eV/atom
**D(E_F)**: 7.1 states/eV per cell
**DFT formation energy**: 133 meV per atom
**Excess energy over the best structure of this formula in the dataset**: 0.000 eV/f.u.
**Calculated volume**: 32.62 A^3/atom


The following is a PBE-GGA calculation of a geometry-optimized Sr3C2O8 structure, from the Alexandria database.

The structure in POSCAR format:
```
Sr3C2O8
1.0
2.617 1.511 6.677
-2.617 1.511 6.677
0.000 -3.022 6.677
Sr C O
3 2 8
Cartesian
0.000 0.000 0.000
0.000 0.000 4.260
0.000 0.000 15.771
0.000 0.000 8.236
0.000 0.000 11.795
-1.154 -0.666 11.379
0.000 -1.333 8.652
-1.154 0.666 8.652
0.000 0.000 6.828
0.000 0.000 13.203
1.154 -0.666 11.379
0.000 1.333 11.379
1.154 0.666 8.652
```

Summary:
**Formation energy without anion corrections**: -1.94 eV per atom
**Total energy**: -6.799 eV/atom
**D(E_F)**: 9.6 states/eV per cell
**Calculated volume**: 12.18 A^3/atom


The following is a PBE-GGA calculation of a geometry-optimized MgGa2As structure, from the Alexandria database.

The structure in POSCAR format:
```
MgGa2As
1.0
-3.884 3.884 2.724
3.884 -3.884 2.724
3.884 3.884 -2.724
Mg Ga As
2 4 2
Cartesian
0.000 0.000 0.000
0.000 3.884 1.362
1.942 2.229 -0.681
5.539 1.942 0.681
1.942 1.655 2.043
-1.655 1.942 3.405
3.884 0.000 1.362
0.000 0.000 2.724
```

Summary:
**Total energy**: -3.227 eV/atom
**D(E_F)**: 1.7 states/eV per cell
**DFT formation energy**: -152 meV per atom
**Excess energy over the best structure of this formula in the dataset**: 0.000 eV/f.u.
**Calculated volume**: 20.55 A^3/atom


The following is a PBE-GGA calculation of a geometry-optimized Tb2Pm6Ho structure, from the Alexandria database.

The structure in POSCAR format:
```
Tb2Pm6Ho
1.0
4.699 -8.843 0.000
4.699 8.843 0.000
0.000 0.000 3.651
Tb Pm Ho
2 6 1
Cartesian
4.699 5.703 0.000
4.699 -5.703 0.000
3.045 2.913 1.825
2.970 0.000 0.000
3.045 -2.913 1.825
6.353 2.913 1.825
6.429 0.000 0.000
6.353 -2.913 1.825
0.000 0.000 1.825
```

Summary:
**Total energy**: -4.574 eV/atom
**D(E_F)**: 12.3 states/eV per cell
**DFT formation energy**: 131 meV per atom
**Excess energy over the best structure of this formula in the dataset**: 0.417 eV/f.u.
**Calculated volume**: 33.72 A^3/atom


The following is a PBE-GGA calculation of a geometry-optimized Sm2Er2Se5 structure, from the Alexandria database.

The structure in POSCAR format:
```
Sm2Er2Se5
1.0
8.754 -1.995 0.000
8.754 1.995 0.000
-0.431 0.000 7.482
Sm Er Se
2 2 5
Cartesian
0.388 0.000 2.107
16.689 0.000 5.375
5.963 0.000 0.636
11.114 0.000 6.846
3.232 0.000 1.258
6.973 0.000 3.193
8.754 0.000 0.000
10.104 0.000 4.289
13.844 0.000 6.224
```

Summary:
**Formation energy without anion corrections**: -1.68 eV per atom
**Total energy**: -5.682 eV/atom
**D(E_F)**: 2.7 states/eV per cell
**Excess energy over the best structure of this formula in the dataset**: 0.391 eV/f.u.
**Calculated volume**: 29.04 A^3/atom


The following is a PBE-GGA calculation of a geometry-optimized ErBe3Ir3 structure, from the Alexandria database.

The structure in POSCAR format:
```
ErBe3Ir3
1.0
6.038 0.000 0.000
0.000 6.038 0.000
0.000 0.000 6.038
Er Be Ir
2 6 6
Cartesian
0.000 0.000 0.000
3.019 3.019 3.019
0.000 1.510 3.019
0.000 4.529 3.019
1.510 3.019 0.000
3.019 0.000 1.510
3.019 0.000 4.529
4.529 3.019 0.000
0.000 3.019 1.510
0.000 3.019 4.529
1.510 0.000 3.019
3.019 1.510 0.000
3.019 4.529 0.000
4.529 0.000 3.019
```

Summary:
**Total energy**: -6.131 eV/atom
**D(E_F)**: 1.9 states/eV per cell
**DFT formation energy**: -85 meV per atom
**Calculated volume**: 15.73 A^3/atom


The following is a PBE-GGA calculation of a geometry-optimized CaLa2As2I2 structure, from the Alexandria database.

The structure in POSCAR format:
```
CaLa2As2I2
1.0
-2.711 2.711 8.199
2.711 -2.711 8.199
2.711 2.711 -8.199
Ca La As I
1 2 2 2
Cartesian
0.000 0.000 0.000
0.000 0.000 6.514
0.000 0.000 9.884
2.711 0.000 0.000
0.000 2.711 0.000
0.000 0.000 3.275
0.000 0.000 13.123
```

Summary:
**Formation energy without anion corrections**: -1.20 eV per atom
**Total energy**: -4.667 eV/atom
**D(E_F)**: 0.4 states/eV per cell
**Calculated volume**: 34.44 A^3/atom


The following is a PBE-GGA calculation of a geometry-optimized SnP structure, from the Alexandria database.

The structure in POSCAR format:
```
SnP
1.0
5.534 0.000 0.000
0.000 3.253 0.000
-0.078 0.000 5.734
Sn P
2 2
Cartesian
-0.005 0.813 1.445
5.461 2.440 4.289
2.688 2.440 4.996
2.768 0.813 0.737
```

Summary:
**Total energy**: -4.700 eV/atom
**D(E_F)**: 0.6 states/eV per cell
**DFT formation energy**: 6 meV per atom
**Calculated volume**: 25.80 A^3/atom


The following is a PBE-GGA calculation of a geometry-optimized YReC2 structure, from the Alexandria database.

The structure in POSCAR format:
```
YReC2
1.0
0.000 2.878 2.878
2.878 0.000 2.878
2.878 2.878 0.000
Y Re C
1 1 2
Cartesian
0.000 0.000 0.000
2.878 2.878 2.878
1.439 1.439 1.439
4.317 4.317 4.317
```

Summary:
**Total energy**: -8.412 eV/atom
**D(E_F)**: 1.8 states/eV per cell
**DFT formation energy**: 928 meV per atom
**Excess energy over the best structure of this formula in the dataset**: 4.377 eV/f.u.
**Calculated volume**: 11.92 A^3/atom


The following is a PBE-GGA calculation of a geometry-optimized KYFe2 structure, from the Alexandria database.

The structure in POSCAR format:
```
KYFe2
1.0
3.299 0.000 0.000
0.000 3.299 0.000
0.000 0.000 9.162
K Y Fe
1 1 2
Cartesian
0.000 0.000 0.000
1.650 1.650 3.772
0.000 0.000 5.639
1.650 1.650 6.508
```

Summary:
**Total energy**: -5.644 eV/atom
**D(E_F)**: 4.0 states/eV per cell
**DFT formation energy**: 478 meV per atom
**Excess energy over the best structure of this formula in the dataset**: 0.195 eV/f.u.
**Calculated volume**: 24.94 A^3/atom


The following is a PBE-GGA calculation of a geometry-optimized YZrAu2 structure, from the Alexandria database.

The structure in POSCAR format:
```
YZrAu2
1.0
-1.524 2.693 5.781
1.524 -2.693 5.781
1.524 2.693 -5.781
Y Zr Au
1 1 2
Cartesian
0.000 0.000 0.000
0.000 0.000 5.781
0.000 0.000 3.037
0.000 0.000 8.524
```

Summary:
**Total energy**: -5.038 eV/atom
**D(E_F)**: 3.9 states/eV per cell
**DFT formation energy**: 354 meV per atom
**Excess energy over the best structure of this formula in the dataset**: 4.002 eV/f.u.
**Calculated volume**: 23.72 A^3/atom


The following is a PBE-GGA calculation of a geometry-optimized CsPmAuO2 structure, from the Alexandria database.

The structure in POSCAR format:
```
CsPmAuO2
1.0
7.045 0.000 0.000
0.000 5.468 0.000
-0.793 0.000 6.802
Cs Pm Au O
2 2 2 4
Cartesian
-0.198 1.187 1.700
-0.594 4.281 5.101
2.928 2.663 5.101
3.325 2.805 1.700
3.523 0.000 0.000
3.126 0.000 3.401
1.375 2.033 6.683
1.771 3.434 3.282
4.482 2.033 3.520
4.878 3.434 0.119
```

Summary:
**Formation energy without anion corrections**: -1.61 eV per atom
**Total energy**: -5.365 eV/atom
**D(E_F)**: 4.5 states/eV per cell
**Calculated volume**: 26.20 A^3/atom


The following is a PBE-GGA calculation of a geometry-optimized HoTi2Co9 structure, from the Alexandria database.

The structure in POSCAR format:
```
HoTi2Co9
1.0
2.399 1.385 7.787
-2.399 1.385 7.787
0.000 -2.771 7.787
Ho Ti Co
1 2 9
Cartesian
0.000 0.000 0.000
0.000 0.000 3.304
0.000 0.000 20.057
-1.228 -0.709 9.804
0.000 0.000 7.850
0.000 -1.419 13.557
-1.228 0.709 13.557
0.000 0.000 11.681
1.228 -0.709 9.804
0.000 1.419 9.804
0.000 0.000 15.511
1.228 0.709 13.557
```

Summary:
**Total energy**: -7.246 eV/atom
**D(E_F)**: 16.0 states/eV per cell
**DFT formation energy**: -219 meV per atom
**Calculated volume**: 12.94 A^3/atom


The following is a PBE-GGA calculation of a geometry-optimized Ba2GeS3 structure, from the Alexandria database.

The structure in POSCAR format:
```
Ba2GeS3
1.0
3.217 -7.577 0.000
3.217 7.577 0.000
-0.678 0.000 14.717
Ba Ge S
8 4 12
Cartesian
1.255 2.941 5.059
0.901 1.661 13.771
1.240 -1.661 6.412
0.916 -2.941 12.418
4.841 2.941 2.299
4.517 1.661 8.305
4.856 -1.661 0.946
4.502 -2.941 9.658
1.638 0.197 9.893
1.977 -0.197 2.535
3.780 0.197 12.182
4.119 -0.197 4.824
2.709 7.460 11.038
1.715 2.955 1.884
1.217 1.434 7.895
1.556 -1.434 0.537
2.709 2.088 11.038
1.376 -2.955 9.243
4.381 2.955 5.474
3.048 -2.088 3.679
4.201 1.434 14.180
4.540 -1.434 6.822
4.042 -2.955 12.833
3.048 -7.460 3.679
```

Summary:
**Formation energy without anion corrections**: -1.43 eV per atom
**Total energy**: -4.899 eV/atom
**Calculated volume**: 29.90 A^3/atom


The following is a PBE-GGA calculation of a geometry-optimized KAgMo structure, from the Alexandria database.

The structure in POSCAR format:
```
KAgMo
1.0
9.513 0.000 0.000
0.000 3.197 0.000
0.000 0.000 10.464
K Ag Mo
4 4 4
Cartesian
0.762 0.799 1.726
3.995 2.398 6.958
5.518 0.799 3.507
8.752 2.398 8.739
2.286 0.799 9.242
2.471 2.398 4.010
7.042 0.799 6.455
7.227 2.398 1.223
0.724 0.799 5.659
4.032 2.398 0.426
5.481 0.799 10.038
8.789 2.398 4.806
```

Summary:
**Total energy**: -4.264 eV/atom
**D(E_F)**: 6.9 states/eV per cell
**DFT formation energy**: 663 meV per atom
**Excess energy over the best structure of this formula in the dataset**: 0.000 eV/f.u.
**Calculated volume**: 26.52 A^3/atom


The following is a PBE-GGA calculation of a geometry-optimized Tl4C2O5 structure, from the Alexandria database.

The structure in POSCAR format:
```
Tl4C2O5
1.0
6.429 -2.720 0.000
6.429 2.720 0.000
-1.072 0.000 7.073
Tl C O
4 2 5
Cartesian
0.000 0.000 0.000
-0.137 0.000 3.889
3.044 0.000 5.466
7.643 0.000 1.693
4.001 0.000 2.039
7.208 0.000 5.563
3.993 1.179 2.061
7.486 1.129 6.171
3.993 -1.179 2.061
6.646 0.000 4.401
7.486 -1.129 6.171
```

Summary:
**Formation energy without anion corrections**: -0.83 eV per atom
**Total energy**: -5.616 eV/atom
**D(E_F)**: 2.8 states/eV per cell
**Calculated volume**: 22.49 A^3/atom


The following is a PBE-GGA calculation of a geometry-optimized Nd2Cu4SnGe3 structure, from the Alexandria database.

The structure in POSCAR format:
```
Nd2Cu4SnGe3
1.0
4.249 0.000 0.000
0.000 4.249 0.000
0.000 0.000 10.362
Nd Cu Sn Ge
2 4 1 3
Cartesian
0.000 2.125 2.428
2.125 0.000 7.934
0.000 0.000 0.000
0.000 2.125 6.681
2.125 0.000 3.681
2.125 2.125 0.000
0.000 0.000 5.181
0.000 2.125 9.068
2.125 0.000 1.294
2.125 2.125 5.181
```

Summary:
**Total energy**: -4.862 eV/atom
**D(E_F)**: 3.3 states/eV per cell
**DFT formation energy**: -484 meV per atom
**Calculated volume**: 18.71 A^3/atom